Density functional theory data (PBEsol) for crystalline Rb3B12H12I at its relaxed geometry.

Unit cell a=6.999 b=6.999 c=6.999 alpha=93.80 beta=93.80 gamma=93.80
Positions (direct):
1 H 0.598 0.896 0.896
2 Rb 0.500 0.000 0.500
3 B 0.061 0.061 0.234
4 H 0.210 0.210 0.728
5 H 0.272 0.790 0.790
6 H 0.402 0.104 0.104
7 B 0.939 0.939 0.766
8 B 0.122 0.122 0.841
9 H 0.104 0.402 0.104
10 Rb 0.500 0.500 0.000
11 Rb 0.000 0.500 0.500
12 H 0.790 0.272 0.790
13 B 0.766 0.939 0.939
14 H 0.790 0.790 0.272
15 H 0.104 0.104 0.402
16 H 0.896 0.896 0.598
17 B 0.841 0.122 0.122
18 B 0.159 0.878 0.878
19 B 0.939 0.766 0.939
20 B 0.878 0.159 0.878
21 B 0.878 0.878 0.159
22 B 0.061 0.234 0.061
23 H 0.896 0.598 0.896
24 B 0.234 0.061 0.061
25 H 0.210 0.728 0.210
26 I 0.500 0.500 0.500
27 H 0.728 0.210 0.210
28 B 0.122 0.841 0.122

***

Density functional theory data (PBEsol) for crystalline In2BH at its relaxed geometry.

Unit cell a=4.837 b=4.837 c=6.755 alpha=110.98 beta=110.98 gamma=90.00
Positions (direct):
1 In 0.878 0.375 0.250
2 H 0.750 0.250 0.500
3 H 0.500 0.500 0.000
4 B 0.000 0.000 0.000
5 In 0.125 0.122 0.750
6 B 0.250 0.750 0.500
7 In 0.372 0.875 0.250
8 In 0.625 0.628 0.750

***

Number 1: volume 340.50 Å³ per cell, final energy -5.035 eV/atom. Number 2: volume 136.29 Å³ per cell, final energy -3.437 eV/atom.